Here is a relaxed Na4BiAsPd2 crystal from the Open Quantum Materials Database. Energies are from PBE-GGA. Values from VASP.

Summary:
The calculation puts the total energy at -26.49 eV per cell. Its symmetry is P-4m2.

Geometry as Quantum ESPRESSO input:
```
&SYSTEM
  ibrav = 0, nat = 8, ntyp = 4
/
ATOMIC_SPECIES
Na 22.99 Na.upf
Bi 208.98 Bi.upf
Pd 106.42 Pd.upf
As 74.92 As.upf
CELL_PARAMETERS angstrom
-0.497 -0.056 -4.721
0.399 -4.731 0.015
-6.883 -0.578 0.731
ATOMIC_POSITIONS crystal
Na 0.000 0.500 0.228
Na 0.000 0.000 0.000
Na 0.500 0.500 0.500
Na 0.500 0.000 0.772
Bi 0.000 0.000 0.500
Pd 0.000 0.500 0.766
Pd 0.500 0.000 0.234
As 0.500 0.500 0.000
```